First-principles (GGA-PBE) data for an optimized crystal structure of Ca2NdHg2, as listed in Alexandria.

a = 5.395 Å, b = 5.308 Å, c = 11.099 Å
α = 90.00°, β = 90.09°, γ = 90.00°
Element x y z (fractional)
Ca  0.249  0.250  0.327
Ca  0.250  0.250  0.001
Ca  0.750  0.750  0.999
Ca  0.751  0.750  0.673
Nd  0.251  0.250  0.669
Nd  0.749  0.750  0.331
Hg  0.250  0.750  0.497
Hg  0.251  0.750  0.832
Hg  0.749  0.250  0.168
Hg  0.750  0.250  0.503

SG: P2_1/m
energy of formation from the pure elements: -0.37 eV/atom
theoretical density: 6.54 Mg/m³



First-principles (GGA-PBE) data for an optimized crystal structure of Sr2CaMgP, as listed in Alexandria.

a = 5.923 Å, b = 5.923 Å, c = 5.546 Å
α = 90.00°, β = 90.00°, γ = 90.00°
Element x y z (fractional)
Sr  0.000  0.500  0.000
Sr  0.500  0.000  0.000
Ca  0.000  0.000  0.500
Mg  0.500  0.500  0.500
P  0.000  0.000  0.000

SG: P4/mmm
energy of formation from the pure elements: -0.47 eV/atom
theoretical density: 2.31 Mg/m³



First-principles (GGA-PBE) data for an optimized crystal structure of CaTiNbIr2, as listed in Alexandria.

a = 6.145 Å, b = 6.145 Å, c = 6.145 Å
α = 138.23°, β = 138.23°, γ = 60.54°
Element x y z (fractional)
Ca  0.000  0.000  0.000
Ti  0.250  0.750  0.500
Nb  0.750  0.250  0.500
Ir  0.378  0.378  0.000
Ir  0.622  0.622  0.000

SG: I-4m2
energy of formation from the pure elements: -0.60 eV/atom
theoretical density: 9.22 Mg/m³



First-principles (GGA-PBE) data for an optimized crystal structure of SrAlHg2, as listed in Alexandria.

a = 5.257 Å, b = 5.257 Å, c = 5.257 Å
α = 60.00°, β = 60.00°, γ = 60.00°
Element x y z (fractional)
Sr  0.000  0.000  0.000
Al  0.750  0.750  0.750
Hg  0.250  0.250  0.250
Hg  0.500  0.500  0.500

SG: F-43m
energy of formation from the pure elements: -0.14 eV/atom
theoretical density: 8.34 Mg/m³



no.,V (Å³ per atom),magnetization (μB per cell),D(E_F) (states/eV/f.u.)
1,31.784,0.00,4.98
2,38.919,0.00,4.49
3,20.370,0.00,3.22
4,25.689,0.00,2.37